(1)
Tl2CdAg2Br6 (PBE-GGA, relaxed); space group = No. 12; formation energy (no corrections) = -0.6243 eV/atom; density of states at the Fermi level = 0.00 states/eV/cell
1.0
-7.088 -2.983 -1.067
6.397 -5.188 0.251
-2.293 3.091 6.594
Br Ag Cd Tl
6 2 1 2
direct
0.192 0.875 0.192 Br
0.808 0.125 0.808 Br
0.316 0.125 0.808 Br
0.279 0.558 0.398 Br
0.684 0.875 0.192 Br
0.721 0.442 0.602 Br
0.929 0.858 0.773 Ag
0.071 0.142 0.227 Ag
0.500 0.000 0.500 Cd
0.745 0.490 0.194 Tl
0.255 0.510 0.806 Tl

---

(2)
TlCdAg2Br6 (PBE-GGA, relaxed); space group = No. 15; formation energy (no corrections) = -0.5025 eV/atom; density of states at the Fermi level = 15.23 states/eV/cell
1.0
8.813 0.179 0.186
3.090 9.337 0.421
3.090 0.074 9.347
Br Tl Ag Cd
12 2 4 2
direct
0.880 0.301 0.446 Br
0.120 0.699 0.554 Br
0.030 0.623 0.133 Br
0.470 0.867 0.377 Br
0.342 0.156 0.071 Br
0.842 0.071 0.156 Br
0.380 0.446 0.301 Br
0.158 0.929 0.844 Br
0.530 0.133 0.623 Br
0.658 0.844 0.929 Br
0.970 0.377 0.867 Br
0.620 0.554 0.699 Br
0.750 0.184 0.816 Tl
0.250 0.816 0.184 Tl
0.648 0.267 0.351 Ag
0.852 0.649 0.733 Ag
0.148 0.351 0.267 Ag
0.352 0.733 0.649 Ag
0.250 0.168 0.832 Cd
0.750 0.832 0.168 Cd

---

(3)
TlCdAg2Br4 (PBE-GGA, relaxed); space group = No. 42; formation energy (no corrections) = -0.4081 eV/atom; density of states at the Fermi level = 4.35 states/eV/cell
1.0
6.661 0.275 0.000
-0.278 6.660 0.000
-3.191 -3.468 6.740
Br Tl Ag Cd
4 1 2 1
direct
0.871 0.421 0.293 Br
0.128 0.128 0.708 Br
0.421 0.871 0.293 Br
0.579 0.579 0.708 Br
0.000 0.000 0.001 Tl
0.250 0.750 0.500 Ag
0.750 0.250 0.500 Ag
0.500 0.500 0.999 Cd